No. 1
## GdYHf (GGA-PBE)

Data for crystalline GdYHf at its relaxed geometry.

Its calculated formation energy is 129 meV per atom. As for the space-group type: I4mm, No. 107.

Cell: 3.3724 3.3724 7.8808 Å, 102.35 102.35 90.00°
Fractional coordinates of all 3 atoms:
Y: 0.3196 0.3196 0.6393
Gd: 0.0130 0.0130 0.0260
Hf: 0.6673 0.6673 0.3347


No. 2
## GdHfZn2 (GGA-PBE)

Data for crystalline GdHfZn2 at its relaxed geometry.

Its calculated formation energy is -234 meV per atom. As for the space-group type: P4/mmm, No. 123.

Cell: 3.4207 3.4207 7.0032 Å, 90.00 90.00 90.00°
Fractional coordinates of all 4 atoms:
Zn: 0.0000 0.0000 0.7822
Zn: 0.0000 0.0000 0.2178
Gd: 0.5000 0.5000 0.5000
Hf: 0.5000 0.5000 0.0000


No. 3
## GdHfZn2 (GGA-PBE)

Data for crystalline GdHfZn2 at its relaxed geometry.

Its calculated formation energy is -166 meV per atom. As for the space-group type: Fm-3m, No. 225.

Cell: 4.8815 4.8815 4.8815 Å, 60.00 60.00 60.00°
Fractional coordinates of all 4 atoms:
Zn: 0.2500 0.2500 0.2500
Zn: 0.7500 0.7500 0.7500
Gd: 0.0000 0.0000 0.0000
Hf: 0.5000 0.5000 0.5000


No. 4
## GdHf2Zn (GGA-PBE)

Data for crystalline GdHf2Zn at its relaxed geometry.

Its calculated formation energy is 287 meV per atom. As for the space-group type: R-3m, No. 166.

Cell: 3.1447 3.1447 10.9716 Å, 81.76 81.76 60.00°
Fractional coordinates of all 4 atoms:
Zn: 0.5000 0.5000 0.5000
Gd: 0.0000 0.0000 0.0000
Hf: 0.0981 0.0981 0.7057
Hf: 0.9019 0.9019 0.2943


No. 5
## GdHf2Zr (GGA-PBE)

Data for crystalline GdHf2Zr at its relaxed geometry.

Its calculated formation energy is 153 meV per atom. As for the space-group type: P4/mmm, No. 123.

Cell: 3.7712 3.7712 6.9830 Å, 90.00 90.00 90.00°
Fractional coordinates of all 4 atoms:
Gd: 0.5000 0.5000 0.5000
Hf: 0.0000 0.0000 0.7884
Hf: 0.0000 0.0000 0.2116
Zr: 0.5000 0.5000 0.0000


No. 6
## GdHf2Zr (GGA-PBE)

Data for crystalline GdHf2Zr at its relaxed geometry.

Its calculated formation energy is 167 meV per atom. As for the space-group type: P4/mmm, No. 123.

Cell: 4.6224 4.5896 4.5896 Å, 90.00 90.00 90.00°
Fractional coordinates of all 4 atoms:
Gd: 0.5000 0.5000 0.5000
Hf: 0.0000 0.0000 0.5000
Hf: 0.0000 0.5000 0.0000
Zr: 0.5000 0.0000 0.0000


No. 7
## GdHfZr (GGA-PBE)

Data for crystalline GdHfZr at its relaxed geometry.

Its calculated formation energy is 143 meV per atom. As for the space-group type: P3m1, No. 156.

Cell: 3.2715 3.2715 8.1746 Å, 90.00 90.00 120.00°
Fractional coordinates of all 3 atoms:
Gd: 0.0000 0.0000 0.0028
Hf: 0.6667 0.3333 0.3479
Zr: 0.3333 0.6667 0.6493


No. 8
## GdHfZr (GGA-PBE)

Data for crystalline GdHfZr at its relaxed geometry.

Its calculated formation energy is 117 meV per atom. As for the space-group type: I4mm, No. 107.

Cell: 3.2053 3.2053 7.8248 Å, 101.82 101.82 90.00°
Fractional coordinates of all 3 atoms:
Gd: 0.9966 0.9966 0.9932
Hf: 0.3226 0.3226 0.6453
Zr: 0.6808 0.6808 0.3616


No. 9
## GdHf2Zr (GGA-PBE)

Data for crystalline GdHf2Zr at its relaxed geometry.

Its calculated formation energy is 142 meV per atom. As for the space-group type: R-3m, No. 166.

Cell: 3.2448 3.2448 10.8830 Å, 81.43 81.43 60.00°
Fractional coordinates of all 4 atoms:
Gd: 0.5000 0.5000 0.5000
Hf: 0.2547 0.2547 0.2360
Hf: 0.7453 0.7453 0.7640
Zr: 0.0000 0.0000 0.0000


No. 10
## Gd3Hg (GGA-PBE)

Data for crystalline Gd3Hg at its relaxed geometry.

Its calculated formation energy is -177 meV per atom. As for the space-group type: I4/mmm, No. 139.

Cell: 4.7693 4.7693 6.0317 Å, 113.29 113.29 90.00°
Fractional coordinates of all 4 atoms:
Gd: 0.7500 0.2500 0.5000
Gd: 0.2500 0.7500 0.5000
Gd: 0.5000 0.5000 0.0000
Hg: 0.0000 0.0000 0.0000


No. 11
## GdHg3 (GGA-PBE)

Data for crystalline GdHg3 at its relaxed geometry.

Its calculated formation energy is -367 meV per atom. As for the space-group type: Cmcm, No. 63.

Cell: 5.0565 6.6877 6.6946 Å, 119.98 90.00 90.00°
Fractional coordinates of all 8 atoms:
Gd: 0.2500 0.6672 0.3345
Gd: 0.7500 0.3326 0.6654
Hg: 0.7500 0.8338 0.1648
Hg: 0.7500 0.3308 0.1649
Hg: 0.7500 0.8349 0.6700
Hg: 0.2500 0.1662 0.8351
Hg: 0.2500 0.6693 0.8351
Hg: 0.2500 0.1651 0.3302


No. 12
## GdHg5 (GGA-PBE)

Data for crystalline GdHg5 at its relaxed geometry.

Its calculated formation energy is -234 meV per atom. As for the space-group type: Cmmm, No. 65.

Cell: 4.8440 4.5074 7.2009 Å, 108.24 90.00 90.00°
Fractional coordinates of all 6 atoms:
Gd: 0.0000 0.0000 0.0000
Hg: 0.5000 0.8360 0.6719
Hg: 0.0000 0.6689 0.3378
Hg: 0.5000 0.5000 0.0000
Hg: 0.0000 0.3311 0.6622
Hg: 0.5000 0.1640 0.3281


No. 13
## Gd3Hg (GGA-PBE)

Data for crystalline Gd3Hg at its relaxed geometry.

Its calculated formation energy is -198 meV per atom. As for the space-group type: Pm-3m, No. 221.

Cell: 4.8522 4.8522 4.8522 Å, 90.00 90.00 90.00°
Fractional coordinates of all 4 atoms:
Gd: 0.0000 0.5000 0.5000
Gd: 0.5000 0.0000 0.5000
Gd: 0.5000 0.5000 0.0000
Hg: 0.0000 0.0000 0.0000


No. 14
## GdHg3 (GGA-PBE)

Data for crystalline GdHg3 at its relaxed geometry.

Its calculated formation energy is -62 meV per atom. As for the space-group type: I4/mmm, No. 139.

Cell: 4.3936 4.3936 6.8484 Å, 108.71 108.71 90.00°
Fractional coordinates of all 4 atoms:
Gd: 0.0000 0.0000 0.0000
Hg: 0.5000 0.5000 0.0000
Hg: 0.2565 0.2565 0.5129
Hg: 0.7435 0.7435 0.4871


No. 15
## GdHg3 (GGA-PBE)

Data for crystalline GdHg3 at its relaxed geometry.

Its calculated formation energy is -328 meV per atom. As for the space-group type: Pm-3m, No. 221.

Cell: 4.6468 4.6455 4.6448 Å, 90.00 90.00 90.00°
Fractional coordinates of all 4 atoms:
Gd: 0.5000 0.0000 0.5837
Hg: 0.0000 0.0000 0.0830
Hg: 0.0000 0.5000 0.5828
Hg: 0.5000 0.5000 0.0838


No. 16
## GdHg3 (GGA-PBE)

Data for crystalline GdHg3 at its relaxed geometry.

Its calculated formation energy is -342 meV per atom. As for the space-group type: Fm-3m, No. 225.

Cell: 5.1524 5.1524 5.1524 Å, 60.00 60.00 60.00°
Fractional coordinates of all 4 atoms:
Gd: 0.5000 0.5000 0.5000
Hg: 0.0000 0.0000 0.0000
Hg: 0.7500 0.7500 0.7500
Hg: 0.2500 0.2500 0.2500


No. 17
## GdHoHg4 (GGA-PBE)

Data for crystalline GdHoHg4 at its relaxed geometry.

Its calculated formation energy is -209 meV per atom. As for the space-group type: F-43m, No. 216.

Cell: 5.9525 5.9525 5.9525 Å, 60.00 60.00 60.00°
Fractional coordinates of all 6 atoms:
Gd: 0.2500 0.2500 0.2500
Hg: 0.6250 0.6250 0.1249
Hg: 0.6250 0.1249 0.6250
Hg: 0.6250 0.6250 0.6250
Hg: 0.1249 0.6250 0.6250
Ho: 0.0000 0.0000 0.0000


No. 18
## GdHo2Hg (GGA-PBE)

Data for crystalline GdHo2Hg at its relaxed geometry.

Its calculated formation energy is -168 meV per atom. As for the space-group type: P4/mmm, No. 123.

Cell: 4.7542 4.8221 4.8221 Å, 90.00 90.00 90.00°
Fractional coordinates of all 4 atoms:
Gd: 0.5000 0.5000 0.5000
Hg: 0.5000 0.0000 0.0000
Ho: 0.0000 0.0000 0.5000
Ho: 0.0000 0.5000 0.0000


No. 19
## GdHo2Hg (GGA-PBE)

Data for crystalline GdHo2Hg at its relaxed geometry.

Its calculated formation energy is -52 meV per atom. As for the space-group type: Fm-3m, No. 225.

Cell: 5.3746 5.3746 5.3746 Å, 60.00 60.00 60.00°
Fractional coordinates of all 4 atoms:
Gd: 0.0000 0.0000 0.0000
Hg: 0.5000 0.5000 0.5000
Ho: 0.2500 0.2500 0.2500
Ho: 0.7500 0.7500 0.7500


No. 20
## GdHo2Hg (GGA-PBE)

Data for crystalline GdHo2Hg at its relaxed geometry.

Its calculated formation energy is -221 meV per atom. As for the space-group type: P4/mmm, No. 123.

Cell: 3.5887 3.5887 8.9121 Å, 90.00 90.00 90.00°
Fractional coordinates of all 4 atoms:
Gd: 0.5000 0.5000 0.5000
Hg: 0.5000 0.5000 0.0000
Ho: 0.0000 0.0000 0.7791
Ho: 0.0000 0.0000 0.2209